Below is an optimized crystal structure of CaSi2, with properties calculated at the PBE level.

Cell lengths 3.6374, 3.6374, 4.9493 Å; angles 90.00, 90.00, 90.00 degrees
Space group P4/mmm (No. 123)
Symmetry-distinct sites (fractional):
Ca  0.0000  0.0000  0.0000 [1 per cell]
Si  0.0000  0.5000  0.5000 [2 per cell]

- Energy relative to the elements, uncorrected: -0.09 eV per atom
- E: -4.37 eV/atom
- Volume: 21.827 A^3/atom